# 1
Material: TiIn3Re
Method: DFT, PBE
State: optimized geometry

Cell and atoms, written as CIF:
```
data_TiIn3Re
_chemical_formula_sum 'Ti1 In3 Re1'
_symmetry_space_group_name_H-M 'P m -3 m'
_symmetry_Int_Tables_number 221
_symmetry_space_group_name_Hall '-P 4 2 3'
_cell_length_a 5.1348
_cell_length_b 5.1348
_cell_length_c 5.1348
_cell_angle_alpha 90.00
_cell_angle_beta 90.00
_cell_angle_gamma 90.00
loop_
_atom_site_label
_atom_site_fract_x
_atom_site_fract_y
_atom_site_fract_z
Ti1 0.0000 0.0000 0.0000
In1 0.0000 0.5000 0.5000
Re1 0.5000 0.5000 0.5000
```

Values from the calculation:
calculated formation energy: 480.6 kJ/mol of formula units
energy: -4.715 eV per atom
spin magnetization: 0.000 μB per formula unit



# 2
Material: TaCoBOs2
Method: DFT, PBE
State: optimized geometry

Cell and atoms, written as CIF:
```
data_TaCoBOs2
_chemical_formula_sum 'Ta1 Co1 B1 Os2'
_symmetry_space_group_name_H-M 'P 4/m m m'
_symmetry_Int_Tables_number 123
_symmetry_space_group_name_Hall '-P 4 2'
_cell_length_a 4.3654
_cell_length_b 4.3654
_cell_length_c 4.4604
_cell_angle_alpha 90.00
_cell_angle_beta 90.00
_cell_angle_gamma 90.00
loop_
_atom_site_label
_atom_site_fract_x
_atom_site_fract_y
_atom_site_fract_z
Ta1 0.0000 0.0000 0.0000
Co1 0.0000 0.0000 0.5000
B1 0.5000 0.5000 0.0000
Os1 0.0000 0.5000 0.5000
```

Values from the calculation:
calculated formation energy: 1013.6 kJ/mol of formula units
energy: -7.518 eV per atom
spin magnetization: 0.000 μB per formula unit



# 3
Material: TaInBr2
Method: DFT, PBE
State: optimized geometry

Cell and atoms, written as CIF:
```
data_TaInBr2
_chemical_formula_sum 'Ta1 In1 Br2'
_symmetry_space_group_name_H-M 'P m m m'
_symmetry_Int_Tables_number 47
_cell_length_a 3.2091
_cell_length_b 4.8590
_cell_length_c 5.8477
_cell_angle_alpha 90.00
_cell_angle_beta 90.00
_cell_angle_gamma 90.00
loop_
_symmetry_equiv_pos_as_xyz
'x,y,z'
'-x,-y,-z'
'-x,-y,z'
'x,y,-z'
'x,-y,-z'
'-x,y,z'
'-x,y,-z'
'x,-y,z'
loop_
_atom_site_label
_atom_site_fract_x
_atom_site_fract_y
_atom_site_fract_z
Ta1 0.0000 0.0000 0.0000
In1 0.5000 0.0000 0.5000
Br1 0.0000 0.5000 0.5000
Br2 0.5000 0.5000 0.0000
```

Values from the calculation:
energy: -4.067 eV per atom
formation energy from raw total energies: 1.7 eV per formula unit
spin magnetization: 0.002 μB per formula unit



Number 1: relative energy among the computed polymorphs 0.000 eV/atom. Number 2: relative energy among the computed polymorphs 2.249 eV/atom. Number 3: relative energy among the computed polymorphs 0.667 eV/atom.